# FeCuNF2 | Alexandria via LeMat-Bulk | PBE+U | relaxed
# E above lowest polymorph ... 0.0 kJ/mol of formula units
# DFT total energy ... -4.757 eV/atom
# N(E_F) ... 0.315 states/eV/atom
data_FeCuNF2
_chemical_formula_sum 'Fe1 Cu1 N1 F2'
_space_group_name_H-M_alt 'P 1'
_space_group_IT_number 1
_cell_length_a 3.879
_cell_length_b 3.879
_cell_length_c 3.992
_cell_angle_alpha 90.00
_cell_angle_beta 90.00
_cell_angle_gamma 90.00
loop_
_space_group_symop_operation_xyz
'x,y,z'
loop_
_atom_site_label
_atom_site_type_symbol
_atom_site_fract_x
_atom_site_fract_y
_atom_site_fract_z
_atom_site_occupancy
F1 F 0.500 0.000 0.000 1
F2 F 0.000 0.500 0.000 1
Fe1 Fe 0.000 0.000 0.000 1
Cu1 Cu 0.500 0.500 0.500 1
N1 N 0.000 0.000 0.500 1